No. 1
# Mg2BeCd, relaxed, DFT PBE
# magnetization: 0.0000 μB per atom
# electronic total energy: -7.23 eV for the cell shown
# energy relative to the lowest polymorph listed for this composition: 0 meV per atom
# calculated formation energy: 0.60 eV per formula unit
# DOS(E_F): 0.90 states/eV/cell
data_Mg2BeCd
_cell_length_a 3.078
_cell_length_b 3.038
_cell_length_c 7.789
_cell_angle_alpha 90.00
_cell_angle_beta 91.72
_cell_angle_gamma 90.00
_symmetry_space_group_name_H-M 'P 1 2/m 1'
_symmetry_Int_Tables_number 10
_symmetry_space_group_name_Hall '-P 2y'
loop_
_atom_site_label
_atom_site_type_symbol
_atom_site_fract_x
_atom_site_fract_y
_atom_site_fract_z
Mg1 Mg 0.007 0.000 0.208
Be1 Be 0.500 0.500 0.000
Cd1 Cd 0.500 0.500 0.500

=====

No. 2
# Ce3PtPb, relaxed, DFT PBE
# magnetization: 0.5882 μB per atom
# electronic total energy: -60.39 eV for the cell shown
# calculated formation energy: -2.65 eV per formula unit
# DOS(E_F): 28.84 states/eV/cell
data_Ce3PtPb
_cell_length_a 5.737
_cell_length_b 6.006
_cell_length_c 9.053
_cell_angle_alpha 72.16
_cell_angle_beta 83.29
_cell_angle_gamma 63.67
_symmetry_space_group_name_H-M 'P -1'
_symmetry_Int_Tables_number 2
_symmetry_space_group_name_Hall '-P 1'
loop_
_atom_site_label
_atom_site_type_symbol
_atom_site_fract_x
_atom_site_fract_y
_atom_site_fract_z
Ce1 Ce 0.088 0.268 0.118
Ce2 Ce 0.225 0.130 0.763
Ce3 Ce 0.307 0.756 0.505
Pt1 Pt 0.178 0.318 0.416
Pb1 Pb 0.412 0.630 0.144

=====

No. 3
# CaTcBr2, relaxed, DFT PBE
# magnetization: 0.2540 μB per atom
# electronic total energy: -17.01 eV for the cell shown
# energy relative to the lowest polymorph listed for this composition: 38 meV per atom
# E_form (uncorrected): -325 meV/atom
# DOS(E_F): 2.01 states/eV/cell
data_CaTcBr2
_cell_length_a 4.315
_cell_length_b 3.459
_cell_length_c 7.818
_cell_angle_alpha 90.00
_cell_angle_beta 105.96
_cell_angle_gamma 90.00
_symmetry_space_group_name_H-M 'P 1 m 1'
_symmetry_Int_Tables_number 6
_symmetry_space_group_name_Hall 'P -2y'
loop_
_atom_site_label
_atom_site_type_symbol
_atom_site_fract_x
_atom_site_fract_y
_atom_site_fract_z
Ca1 Ca 0.000 0.000 0.000
Tc1 Tc 0.410 0.500 0.819
Br1 Br 0.291 0.000 0.583
Br2 Br 0.583 0.500 0.167

=====

No. 4
# La2InH2, relaxed, DFT PBE
# magnetization: 0.0000 μB per atom
# electronic total energy: -41.32 eV for the cell shown
# energy relative to the lowest polymorph listed for this composition: 342 meV per atom
# DOS(E_F): 7.01 states/eV/cell
data_La2InH2
_cell_length_a 7.833
_cell_length_b 7.833
_cell_length_c 3.231
_cell_angle_alpha 90.00
_cell_angle_beta 90.00
_cell_angle_gamma 90.00
_symmetry_space_group_name_H-M 'P 4/m b m'
_symmetry_Int_Tables_number 127
_symmetry_space_group_name_Hall '-P 4 2ab'
loop_
_atom_site_label
_atom_site_type_symbol
_atom_site_fract_x
_atom_site_fract_y
_atom_site_fract_z
La1 La 0.159 0.341 0.000
In1 In 0.000 0.000 0.500
H1 H 0.104 0.604 0.500

=====

No. 5
# Pm5OsRh2, relaxed, DFT PBE
# magnetization: 0.0000 μB per atom
# electronic total energy: -212.25 eV for the cell shown
# calculated formation energy: -3.38 eV per formula unit
# DOS(E_F): 19.51 states/eV/cell
data_Pm5OsRh2
_cell_length_a 7.465
_cell_length_b 7.465
_cell_length_c 14.403
_cell_angle_alpha 90.00
_cell_angle_beta 90.00
_cell_angle_gamma 90.00
_symmetry_space_group_name_H-M 'I 4/m c m'
_symmetry_Int_Tables_number 140
_symmetry_space_group_name_Hall '-I 4 2c'
loop_
_atom_site_label
_atom_site_type_symbol
_atom_site_fract_x
_atom_site_fract_y
_atom_site_fract_z
Pm1 Pm 0.000 0.000 0.000
Pm2 Pm 0.176 0.324 0.145
Os1 Os 0.000 0.000 0.250
Rh1 Rh 0.128 0.372 0.500

=====

No. 6
# MnIn2Ge2, relaxed, DFT PBE
# magnetization: 0.6607 μB per atom
# electronic total energy: -45.97 eV for the cell shown
# calculated formation energy: 0.90 eV per formula unit
# DOS(E_F): 4.34 states/eV/cell
data_MnIn2Ge2
_cell_length_a 6.565
_cell_length_b 6.565
_cell_length_c 4.938
_cell_angle_alpha 90.00
_cell_angle_beta 90.00
_cell_angle_gamma 90.00
_symmetry_space_group_name_H-M 'P 4/m b m'
_symmetry_Int_Tables_number 127
_symmetry_space_group_name_Hall '-P 4 2ab'
loop_
_atom_site_label
_atom_site_type_symbol
_atom_site_fract_x
_atom_site_fract_y
_atom_site_fract_z
Mn1 Mn 0.000 0.000 0.000
In1 In 0.182 0.318 0.500
Ge1 Ge 0.139 0.639 0.000

=====

Question: What is the DOS(E_F) in the third record?
Answer: 2.01 states/eV/cell